# 1
Ca2MgScIn | PBE | optimized geometry

```
Ca2MgScIn
1.0
5.780 0.000 0.000
0.000 5.780 0.000
0.000 0.000 5.424
Ca Mg Sc In
2 1 1 1
direct
0.000 0.500 0.000
0.500 0.000 0.000
0.000 0.000 0.000
0.000 0.000 0.500
0.500 0.500 0.500
```

## Properties
E = -12.3 eV per cell
Symmetry = P4/mmm

---

# 2
CaSmMgIn | PBE | optimized geometry

```
CaSmMgIn
1.0
0.000 3.850 3.850
3.850 0.000 3.850
3.850 3.850 0.000
Ca Sm Mg In
1 1 1 1
direct
0.000 0.000 0.000
0.500 0.500 0.500
0.250 0.250 0.250
0.750 0.750 0.750
```

## Properties
E = -12.4 eV per cell
Symmetry = F-43m